Hf4AlCo, relaxed, DFT GGA-PBE; E above lowest polymorph = 0.00 kcal/mol of atoms; E_form = -162 kJ/mol of formula units; symmetry = P4/mcc, No. 124
1.0
-0.2345 -1.8057 5.0329
-5.3536 -3.5021 -1.5060
3.8013 -5.1003 -1.6528
Al Hf Co
2 8 2
direct
0.2500 0.0000 0.0000
0.7500 0.0000 0.0000
0.0000 0.1785 0.6467
0.5000 0.3533 0.8215
0.5000 0.6467 0.1785
0.5000 0.8215 0.6467
0.5000 0.1785 0.3533
0.0000 0.8215 0.3533
0.0000 0.3533 0.1785
0.0000 0.6467 0.8215
0.7500 0.5000 0.5000
0.2500 0.5000 0.5000